LaMg4Re, optimized geometry, DFT PBE; E_form = 0.384 eV per atom; space group = F-43m, No. 216; total energy = -3.575 eV per atom; DOS at the Fermi energy = 6.40 states/eV/f.u.
1.0
0.0000 4.0120 4.0120
4.0120 0.0000 4.0120
4.0120 4.0120 0.0000
La Mg Re
1 4 1
Direct
0.0000 0.0000 0.0000 La
0.1299 0.6234 0.6234 Mg
0.6234 0.1299 0.6234 Mg
0.6234 0.6234 0.1299 Mg
0.6234 0.6234 0.6234 Mg
0.2500 0.2500 0.2500 Re


LaMgRe2, optimized geometry, DFT PBE; E_form = 0.577 eV per atom; space group = P4/mmm, No. 123; total energy = -7.278 eV per atom; DOS at the Fermi energy = 2.26 states/eV/f.u.
1.0
3.5491 0.0000 0.0000
0.0000 3.5491 0.0000
0.0000 0.0000 6.6427
La Mg Re
1 1 2
Direct
0.0000 0.0000 0.0000 La
0.0000 0.0000 0.5000 Mg
0.5000 0.5000 0.3235 Re
0.5000 0.5000 0.6765 Re


LaMgRe2, optimized geometry, DFT PBE; E_form = 0.602 eV per atom; space group = F-43m, No. 216; total energy = -7.252 eV per atom; DOS at the Fermi energy = 4.09 states/eV/f.u.
1.0
0.0000 3.3736 3.3736
3.3736 0.0000 3.3736
3.3736 3.3736 0.0000
La Mg Re
1 1 2
Direct
0.0000 0.0000 0.0000 La
0.2500 0.2500 0.2500 Mg
0.5000 0.5000 0.5000 Re
0.7500 0.7500 0.7500 Re


LaMgRe2, optimized geometry, DFT PBE; E_form = 0.815 eV per atom; space group = I4/mmm, No. 139; total energy = -7.039 eV per atom; DOS at the Fermi energy = 5.09 states/eV/f.u.
1.0
-2.0689 2.0689 4.5471
2.0689 -2.0689 4.5471
2.0689 2.0689 -4.5471
La Mg Re
1 1 2
Direct
0.0000 0.0000 0.0000 La
0.5000 0.5000 0.0000 Mg
0.2500 0.7500 0.5000 Re
0.7500 0.2500 0.5000 Re